P.
## Ag2SO (GGA-PBE)

Data for an optimized crystal structure of Ag2SO.

## Properties
Space-group type = Cmc2_1 (36)

abc: 6.2796 6.2796 6.5404
angles: 90.00 90.00 148.87
Last column: nearest neighbours and their distance in Å.
Element x y z (fractional)
Ag 0.9971 0.0029 0.2133  2 O 2.13-2.14
Ag 0.2714 0.7286 0.4665  2 O 2.18, 2 S 2.42
Ag 0.0029 0.9971 0.7133  2 O 2.13-2.14
Ag 0.7286 0.2714 0.9665  2 O 2.18, 2 S 2.42
O 0.8863 0.1137 0.4673  4 Ag 2.13-2.18
O 0.1137 0.8863 0.9673  4 Ag 2.13-2.18
S 0.6274 0.3726 0.4603  2 Ag 2.42
S 0.3726 0.6274 0.9603  2 Ag 2.42

***

Q.
## Ag2SO (GGA-PBE)

Data for an optimized crystal structure of Ag2SO.

## Properties
Space-group type = Cmcm (63)

abc: 3.3915 5.2920 7.1006
angles: 90.00 76.18 90.00
Last column: nearest neighbours and their distance in Å.
Element x y z (fractional)
Ag 0.4219 0.7500 0.1561  4 O 2.41, 2 S 2.44
Ag 0.8624 0.2500 0.2752  2 O 2.31
Ag 0.1376 0.7500 0.7248  2 O 2.31
Ag 0.5781 0.2500 0.8439  4 O 2.41, 2 S 2.44
O 0.0000 0.0000 0.0000  6 Ag 2.31-2.41
O 0.0000 0.5000 0.0000  6 Ag 2.31-2.41
S 0.7945 0.7500 0.4111  2 Ag 2.44
S 0.2055 0.2500 0.5889  2 Ag 2.44

***

Stability order, top to bottom: P, Q

***

P.
## AgSO4 (GGA-PBE)

Data for an optimized crystal structure of AgSO4.

## Properties
Space-group type = P-1 (2)

abc: 9.4080 9.4097 9.4233
angles: 117.99 117.92 92.54
Last column: nearest neighbours and their distance in Å.
Element x y z (fractional)
Ag 0.0000 0.0000 0.0000  4 O 2.16-2.18
Ag 0.5000 0.0000 0.0000  4 O 2.18
Ag 0.0000 0.5000 0.0000  4 O 2.14-2.21
Ag 0.5000 0.5000 0.0000  4 O 2.17
Ag 0.0000 0.0000 0.5000  4 O 2.16-2.18
Ag 0.5000 0.0000 0.5000  4 O 2.14-2.21
Ag 0.0000 0.5000 0.5000  4 O 2.18
Ag 0.5000 0.5000 0.5000  4 O 2.17
O 0.8007 0.8899 0.0097  1 S 1.49
O 0.6270 0.7139 0.0204  1 S 1.49
O 0.1839 0.7048 0.0703  1 S 1.48
O 0.3853 0.8702 0.0809  1 S 1.48
O 0.2106 0.4093 0.1191  1 S 1.50
O 0.7255 0.4461 0.1511  1 S 1.50
O 0.9038 0.2807 0.2111  1 S 1.49
O 0.9408 0.7893 0.2232  1 S 1.49
O 0.2111 0.0602 0.2774  1 S 1.49
O 0.7192 0.0961 0.2886  1 S 1.50
O 0.5536 0.2742 0.3489  1 S 1.49
O 0.5904 0.7895 0.3806  1 S 1.50
O 0.1303 0.6145 0.4192  1 S 1.48
O 0.2955 0.8160 0.4297  1 S 1.48
O 0.2870 0.3739 0.4817  1 S 1.49
O 0.1105 0.1996 0.4912  1 S 1.49
O 0.8895 0.8004 0.5088  1 S 1.49
O 0.7130 0.6261 0.5183  1 S 1.49
O 0.7045 0.1840 0.5703  1 S 1.48
O 0.8697 0.3855 0.5808  1 S 1.48
O 0.4096 0.2105 0.6194  1 S 1.50
O 0.4464 0.7258 0.6511  1 S 1.49
O 0.2808 0.9039 0.7114  1 S 1.50
O 0.7889 0.9398 0.7226  1 S 1.49
O 0.0592 0.2107 0.7768  1 S 1.49
O 0.0962 0.7193 0.7889  1 S 1.49
O 0.2745 0.5539 0.8489  1 S 1.50
O 0.7894 0.5907 0.8809  1 S 1.50
O 0.6147 0.1298 0.9191  1 S 1.48
O 0.8161 0.2952 0.9297  1 S 1.48
O 0.3730 0.2861 0.9796  1 S 1.49
O 0.1993 0.1101 0.9903  1 S 1.49
S 0.7912 0.7463 0.0354  4 O 1.49-1.50
S 0.7644 0.2895 0.0539  4 O 1.48-1.50
S 0.7101 0.2360 0.4462  4 O 1.48-1.50
S 0.2541 0.2092 0.4651  4 O 1.49-1.50
S 0.7459 0.7908 0.5349  4 O 1.49-1.50
S 0.2899 0.7640 0.5538  4 O 1.48-1.50
S 0.2356 0.7104 0.9461  4 O 1.48-1.50
S 0.2088 0.2537 0.9646  4 O 1.49-1.50

***

Q.
## AgSO4 (GGA-PBE)

Data for an optimized crystal structure of AgSO4.

## Properties
Space-group type = C2/c (15)

abc: 9.3428 9.3428 9.3359
angles: 119.13 119.13 91.25
Last column: nearest neighbours and their distance in Å.
Element x y z (fractional)
Ag 0.0000 0.0000 0.0000  4 O 2.16-2.17
Ag 0.5000 0.0000 0.0000  4 O 2.15-2.20
Ag 0.0000 0.5000 0.0000  4 O 2.16-2.21
Ag 0.5000 0.5000 0.0000  4 O 2.18-2.20
Ag 0.0000 0.0000 0.5000  4 O 2.16-2.17
Ag 0.5000 0.0000 0.5000  4 O 2.16-2.21
Ag 0.0000 0.5000 0.5000  4 O 2.15-2.20
Ag 0.5000 0.5000 0.5000  4 O 2.18-2.20
O 0.6184 0.7116 0.0079  1 S 1.48
O 0.2098 0.1216 0.0130  1 S 1.48
O 0.1782 0.7126 0.0710  1 S 1.48
O 0.3852 0.8832 0.0922  1 S 1.48
O 0.2256 0.4255 0.1392  1 S 1.50
O 0.7274 0.4382 0.1505  1 S 1.49
O 0.9084 0.2702 0.2116  1 S 1.50
O 0.9376 0.7869 0.2128  1 S 1.49
O 0.2131 0.0624 0.2872  1 S 1.49
O 0.7298 0.0916 0.2884  1 S 1.50
O 0.5618 0.2726 0.3495  1 S 1.49
O 0.5745 0.7744 0.3608  1 S 1.50
O 0.1168 0.6148 0.4078  1 S 1.48
O 0.2874 0.8218 0.4290  1 S 1.48
O 0.8784 0.7902 0.4870  1 S 1.48
O 0.2884 0.3816 0.4921  1 S 1.48
O 0.7116 0.6184 0.5079  1 S 1.48
O 0.1216 0.2098 0.5130  1 S 1.48
O 0.7126 0.1782 0.5710  1 S 1.48
O 0.8832 0.3852 0.5922  1 S 1.48
O 0.4255 0.2256 0.6392  1 S 1.50
O 0.4382 0.7274 0.6505  1 S 1.49
O 0.2702 0.9084 0.7116  1 S 1.50
O 0.7869 0.9376 0.7128  1 S 1.49
O 0.0624 0.2131 0.7872  1 S 1.49
O 0.0916 0.7298 0.7884  1 S 1.50
O 0.2726 0.5618 0.8495  1 S 1.49
O 0.7744 0.5745 0.8608  1 S 1.50
O 0.6148 0.1168 0.9078  1 S 1.48
O 0.8218 0.2874 0.9290  1 S 1.48
O 0.7902 0.8784 0.9870  1 S 1.48
O 0.3816 0.2884 0.9921  1 S 1.48
S 0.7813 0.7389 0.0192  4 O 1.48-1.50
S 0.7663 0.2800 0.0494  4 O 1.48-1.50
S 0.7200 0.2337 0.4506  4 O 1.48-1.50
S 0.2611 0.2187 0.4808  4 O 1.48-1.50
S 0.7389 0.7813 0.5192  4 O 1.48-1.50
S 0.2800 0.7663 0.5494  4 O 1.48-1.50
S 0.2337 0.7200 0.9506  4 O 1.48-1.50
S 0.2187 0.2611 0.9808  4 O 1.48-1.50

***

R.
## AgSO4 (GGA-PBE)

Data for an optimized crystal structure of AgSO4.

## Properties
Space-group type = I-4 (82)

abc: 4.8833 4.8833 4.8833
angles: 119.36 119.36 91.12
Last column: nearest neighbours and their distance in Å.
Element x y z (fractional)
Ag 0.5000 0.5000 0.0000  4 O 2.20
O 0.1673 0.7262 0.1502  1 S 1.49
O 0.2738 0.4240 0.4411  1 S 1.49
O 0.9829 0.8327 0.5589  1 S 1.49
O 0.5760 0.0171 0.8498  1 S 1.49
S 0.2500 0.7500 0.5000  4 O 1.49

***

Stability order, top to bottom: P, Q, R

***

P.
## AgSbSO (GGA-PBE)

Data for an optimized crystal structure of AgSbSO.

## Properties
Space-group type = P2_1 (4)

abc: 5.9274 5.5242 10.8778
angles: 90.00 100.30 90.00
Last column: nearest neighbours and their distance in Å.
Element x y z (fractional)
Ag 0.9188 0.4709 0.3179  2 S 2.38-2.44
Ag 0.6186 0.6751 0.4834  2 S 2.37-2.38
Ag 0.3814 0.1751 0.5166  2 S 2.37-2.38
Ag 0.0812 0.9709 0.6821  2 S 2.38-2.44
O 0.2093 0.9919 0.0220  3 Sb 2.09-2.30
O 0.2273 0.4581 0.0282  3 Sb 2.08-2.18
O 0.7727 0.9581 0.9718  3 Sb 2.08-2.18
O 0.7907 0.4919 0.9780  3 Sb 2.09-2.30
S 0.5509 0.6787 0.2613  2 Ag 2.38-2.44
S 0.1823 0.1500 0.3073  2 Ag 2.37-2.38, 1 Sb 2.52
S 0.8178 0.6500 0.6927  2 Ag 2.37-2.38, 1 Sb 2.52
S 0.4491 0.1787 0.7387  2 Ag 2.38-2.44
Sb 0.0154 0.7303 0.0943  4 O 2.09-2.18
Sb 0.4458 0.2451 0.1554  2 O 2.08-2.30
Sb 0.5542 0.7451 0.8446  2 O 2.08-2.30
Sb 0.9846 0.2303 0.9057  4 O 2.09-2.18

***

Q.
## AgSbSO (GGA-PBE)

Data for an optimized crystal structure of AgSbSO.

## Properties
Space-group type = Pmc2_1 (26)

abc: 3.6388 6.7642 6.7637
angles: 90.00 90.00 90.00
Last column: nearest neighbours and their distance in Å.
Element x y z (fractional)
Ag 0.0000 0.2913 0.0422  2 O 2.35, 1 S 2.47
Ag 0.0000 0.7087 0.5422  2 O 2.35, 1 S 2.47
O 0.5000 0.2476 0.2568  1 Sb 1.93
O 0.5000 0.7524 0.7568  1 Sb 1.93
S 0.0000 0.6678 0.1793  2 Ag 2.47-2.71, 2 Sb 2.57
S 0.0000 0.3322 0.6793  2 Ag 2.47-2.71, 2 Sb 2.57
Sb 0.5000 0.8769 0.0128  1 O 1.93
Sb 0.5000 0.1231 0.5128  1 O 1.93

***

R.
## AgSbSO (GGA-PBE)

Data for an optimized crystal structure of AgSbSO.

## Properties
Space-group type = P2_1/c (14)

abc: 6.5075 7.4984 6.1785
angles: 90.00 90.32 90.00
Last column: nearest neighbours and their distance in Å.
Element x y z (fractional)
Ag 0.0642 0.7024 0.0101  1 O 2.35, 2 S 2.56-2.59
Ag 0.9358 0.2024 0.4899  1 O 2.35, 2 S 2.56-2.59
Ag 0.0642 0.7976 0.5101  1 O 2.35, 2 S 2.56-2.59
Ag 0.9358 0.2976 0.9899  1 O 2.35, 2 S 2.56-2.59
O 0.4229 0.7335 0.0002  2 Sb 2.05-2.06
O 0.5771 0.2334 0.4998  2 Sb 2.05-2.06
O 0.4229 0.7665 0.5002  2 Sb 2.05-2.06
O 0.5771 0.2666 0.9998  2 Sb 2.05-2.06
S 0.8194 0.9141 0.2174  1 Sb 2.54, 3 Ag 2.56-2.84
S 0.1806 0.4141 0.2827  1 Sb 2.54, 3 Ag 2.56-2.84
S 0.8194 0.5859 0.7173  1 Sb 2.54, 3 Ag 2.56-2.84
S 0.1806 0.0859 0.7826  1 Sb 2.54, 3 Ag 2.56-2.84
Sb 0.4107 0.1431 0.2369  2 O 2.05-2.06
Sb 0.5893 0.6431 0.2631  2 O 2.05-2.06
Sb 0.4107 0.3569 0.7369  2 O 2.05-2.06
Sb 0.5893 0.8569 0.7631  2 O 2.05-2.06

***

Stability order, top to bottom: P, R, Q

***

P.
## AgSbSO (GGA-PBE)

Data for an optimized crystal structure of AgSbSO.

## Properties
Space-group type = Pca2_1 (29)

abc: 6.1318 9.8052 5.7729
angles: 90.00 90.00 90.00
Last column: nearest neighbours and their distance in Å.
Element x y z (fractional)
Ag 0.3811 0.1040 0.0029  2 O 2.25-2.39, 1 S 2.51
Ag 0.8811 0.8960 0.0029  2 O 2.25-2.39, 1 S 2.51
Ag 0.1189 0.1040 0.5029  2 O 2.25-2.39, 1 S 2.51
Ag 0.6189 0.8960 0.5029  2 O 2.25-2.39, 1 S 2.51
O 0.9981 0.1090 0.0806  1 Sb 1.93
O 0.4981 0.8910 0.0806  1 Sb 1.93
O 0.5019 0.1090 0.5806  1 Sb 1.93
O 0.0019 0.8910 0.5806  1 Sb 1.93
S 0.5551 0.3266 0.1111  1 Ag 2.51, 2 Sb 2.55-2.58
S 0.0551 0.6734 0.1111  1 Ag 2.51, 2 Sb 2.55-2.58
S 0.9449 0.3266 0.6111  1 Ag 2.51, 2 Sb 2.55-2.58
S 0.4449 0.6734 0.6111  1 Ag 2.51, 2 Sb 2.55-2.58
Sb 0.9657 0.3046 0.0555  1 O 1.93
Sb 0.4657 0.6954 0.0555  1 O 1.93
Sb 0.5343 0.3046 0.5555  1 O 1.93
Sb 0.0343 0.6954 0.5555  1 O 1.93

***

Q.
## AgSbSO (GGA-PBE)

Data for an optimized crystal structure of AgSbSO.

## Properties
Space-group type = P4/nmm (129)

abc: 3.8895 3.8895 8.9522
angles: 90.00 90.00 90.00
Last column: nearest neighbours and their distance in Å.
Element x y z (fractional)
Ag 0.7500 0.2500 0.5000  4 S 2.68, 4 Ag 2.75
Ag 0.2500 0.7500 0.5000  4 S 2.68, 4 Ag 2.75
O 0.7500 0.2500 0.0000  4 Sb 2.29
O 0.2500 0.7500 0.0000  4 Sb 2.29
S 0.7500 0.7500 0.2942  4 Ag 2.68
S 0.2500 0.2500 0.7058  4 Ag 2.68
Sb 0.2500 0.2500 0.1344  4 O 2.29
Sb 0.7500 0.7500 0.8657  4 O 2.29

***

Stability order, top to bottom: Q, P

***

P.
## ZnAgSO (GGA-PBE)

Data for an optimized crystal structure of ZnAgSO.

## Properties
Space-group type = P4/nmm (129)

abc: 3.9144 3.9144 8.0639
angles: 90.00 90.00 90.00
Last column: nearest neighbours and their distance in Å.
Element x y z (fractional)
Ag 0.7500 0.2500 0.0000  4 Ag 2.77, 4 Zn 2.80
Ag 0.2500 0.7500 0.0000  4 Ag 2.77, 4 Zn 2.80
O 0.7500 0.7500 0.4876  1 S 1.54
O 0.2500 0.2500 0.5124  1 S 1.54
S 0.2500 0.2500 0.3216  1 O 1.54
S 0.7500 0.7500 0.6784  1 O 1.54
Zn 0.7500 0.7500 0.2476  1 O 1.94
Zn 0.2500 0.2500 0.7524  1 O 1.94

***

Q.
## ZnAgSO (GGA-PBE)

Data for an optimized crystal structure of ZnAgSO.

## Properties
Space-group type = Cmcm (63)

abc: 2.8973 5.4824 7.4203
angles: 90.00 78.74 90.00
Last column: nearest neighbours and their distance in Å.
Element x y z (fractional)
Ag 0.8442 0.2500 0.3115  4 S 2.61-2.80, 2 O 2.65, 2 Ag 2.90
Ag 0.1558 0.7500 0.6885  4 S 2.61-2.80, 2 O 2.65, 2 Ag 2.90
O 0.0000 0.0000 0.0000  4 Zn 2.08
O 0.0000 0.5000 0.0000  4 Zn 2.08
S 0.8053 0.7500 0.3895  4 Ag 2.61-2.80, 2 Zn 2.67, 2 S 2.90
S 0.1947 0.2500 0.6105  4 Ag 2.61-2.80, 2 Zn 2.67, 2 S 2.90
Zn 0.4596 0.7500 0.0809  4 O 2.08
Zn 0.5404 0.2500 0.9191  4 O 2.08

***

Stability order, top to bottom: Q, P

***

P.
## ZnAgSO (GGA-PBE)

Data for an optimized crystal structure of ZnAgSO.

## Properties
Space-group type = Cmc2_1 (36)

abc: 6.8258 6.8258 5.2325
angles: 90.00 90.00 31.69
Last column: nearest neighbours and their distance in Å.
Element x y z (fractional)
Ag 0.6700 0.6700 0.4803  2 O 2.28
Ag 0.3300 0.3300 0.9803  2 O 2.28
O 0.9287 0.9287 0.0220  2 Zn 1.91-1.98
O 0.0713 0.0713 0.5220  2 Zn 1.91-1.98
S 0.3267 0.3267 0.4906  2 Zn 2.39, 2 Ag 2.56-2.67
S 0.6733 0.6733 0.9906  2 Zn 2.39, 2 Ag 2.56-2.67
Zn 0.9342 0.9342 0.3997  2 O 1.91-1.98
Zn 0.0658 0.0658 0.8997  2 O 1.91-1.98

***

Q.
## ZnAgSO (GGA-PBE)

Data for an optimized crystal structure of ZnAgSO.

## Properties
Space-group type = Cmc2_1 (36)

abc: 7.0752 7.0752 5.9412
angles: 90.00 90.00 25.23
Last column: nearest neighbours and their distance in Å.
Element x y z (fractional)
Ag 0.9580 0.9580 0.3794  2 O 2.17-2.23
Ag 0.0420 0.0420 0.8794  2 O 2.17-2.23
O 0.8987 0.8987 0.0299  2 Zn 1.96, 1 Ag 2.17
O 0.1013 0.1013 0.5299  2 Zn 1.96, 1 Ag 2.17
S 0.6796 0.6796 0.0392  3 Zn 2.41-2.53, 2 Ag 2.63
S 0.3204 0.3204 0.5392  3 Zn 2.41-2.53, 2 Ag 2.63
Zn 0.6810 0.6810 0.4441  2 O 1.96
Zn 0.3190 0.3190 0.9441  2 O 1.96

***

Stability order, top to bottom: P, Q

***

P.
## ZnAgSO (GGA-PBE)

Data for an optimized crystal structure of ZnAgSO.

## Properties
Space-group type = Pca2_1 (29)

abc: 5.9785 7.1757 5.9569
angles: 90.00 90.00 90.00
Last column: nearest neighbours and their distance in Å.
Element x y z (fractional)
Ag 0.2344 0.1064 0.3939  2 O 2.15-2.19
Ag 0.7344 0.8936 0.3939  2 O 2.15-2.19
Ag 0.2656 0.1064 0.8939  2 O 2.15-2.19
Ag 0.7656 0.8936 0.8939  2 O 2.15-2.19
O 0.9870 0.1014 0.1317  1 Zn 1.97, 2 Ag 2.15-2.19
O 0.4870 0.8986 0.1317  1 Zn 1.97, 2 Ag 2.15-2.19
O 0.5130 0.1014 0.6317  1 Zn 1.97, 2 Ag 2.15-2.19
O 0.0130 0.8986 0.6317  1 Zn 1.97, 2 Ag 2.15-2.19
S 0.5004 0.3555 0.1689  3 Zn 2.34-2.42
S 0.0004 0.6446 0.1689  3 Zn 2.34-2.42
S 0.9996 0.3555 0.6689  3 Zn 2.34-2.42
S 0.4996 0.6446 0.6689  3 Zn 2.34-2.42
Zn 0.8745 0.3510 0.0554  1 O 1.97
Zn 0.3745 0.6490 0.0554  1 O 1.97
Zn 0.6255 0.3510 0.5554  1 O 1.97
Zn 0.1255 0.6490 0.5554  1 O 1.97

***

Q.
## ZnAgSO (GGA-PBE)

Data for an optimized crystal structure of ZnAgSO.

## Properties
Space-group type = P4/nmm (129)

abc: 3.6892 3.6892 9.4738
angles: 90.00 90.00 90.00
Last column: nearest neighbours and their distance in Å.
Element x y z (fractional)
Ag 0.7500 0.7500 0.1504  4 S 2.61
Ag 0.2500 0.2500 0.8496  4 S 2.61
O 0.7500 0.2500 0.5000  4 Zn 2.01
O 0.2500 0.7500 0.5000  4 Zn 2.01
S 0.2500 0.2500 0.1665  1 Zn 2.36, 4 Ag 2.61
S 0.7500 0.7500 0.8335  1 Zn 2.36, 4 Ag 2.61
Zn 0.2500 0.2500 0.4159  4 O 2.01
Zn 0.7500 0.7500 0.5841  4 O 2.01

***

Stability order, top to bottom: Q, P